LiCd2GaPd: optimized geometry, PBE-GGA.

Summary:
The formation energy is 1.35 kcal/mol of atoms. As for the electronic total energy: -2.33 eV/atom.

a b c (Å): 5.2165 5.2165 4.6160
angles (deg): 90.00 90.00 90.00
Space group P4/mmm (No. 123)
Symmetry-distinct sites (fractional):
1 Li 0.0000 0.0000 0.0000
2 Cd 0.0000 0.5000 0.5000
3 Ga 0.5000 0.5000 0.0000
4 Pd 0.0000 0.0000 0.5000

AuSeBr2: optimized geometry, PBE-GGA.

Summary:
As for the electronic total energy: -2.24 eV/atom. As for the formation energy from raw total energies: 1.16 eV per formula unit. The value obtained for the energy above the most stable polymorph in this dataset is 0.335 eV/atom.

a b c (Å): 3.8789 7.6813 8.1091
angles (deg): 90.00 90.00 90.00
Space group Immm (No. 71)
Symmetry-distinct sites (fractional):
1 Au 0.0000 0.0000 0.0000
2 Se 0.0000 0.5000 0.0000
3 Br 0.0000 0.2605 0.5000

ReIN: optimized geometry, PBE-GGA.

Summary:
As for the electronic total energy: -7.06 eV/atom. As for the formation energy from raw total energies: 1.15 eV per formula unit. The value obtained for the energy above the most stable polymorph in this dataset is 0.232 eV/atom.

a b c (Å): 3.2701 7.0866 8.1745
angles (deg): 103.54 101.52 102.71
Space group P1 (No. 1)
Symmetry-distinct sites (fractional):
1 Re 0.0000 0.0000 0.0000
2 Re 0.2032 0.1060 0.3057
3 I 0.6094 0.8139 0.3967
4 I 0.7619 0.6075 0.8983
5 N 0.5044 0.0853 0.9275
6 N 0.7982 0.2479 0.3602

Ba3SiAs4: optimized geometry, PBE-GGA.

Summary:
As for the electronic total energy: -4.40 eV/atom. As for the formation energy from raw total energies: -5.43 eV per formula unit. The value obtained for the energy above the most stable polymorph in this dataset is 0.194 eV/atom.

a b c (Å): 10.8510 6.9429 6.5824
angles (deg): 90.00 90.00 90.00
Space group Pmn2_1 (No. 31)
Symmetry-distinct sites (fractional):
1 Ba 0.0000 0.0027 0.0000
2 Ba 0.2087 0.6757 0.5860
3 Si 0.0000 0.3738 0.4652
4 As 0.0000 0.0057 0.4947
5 As 0.0000 0.4833 0.1213
6 As 0.1959 0.1962 0.5923

TaCo2SbH: optimized geometry, PBE-GGA.

Summary:
As for the electronic total energy: -6.66 eV/atom.

a b c (Å): 3.9897 3.9897 3.8814
angles (deg): 90.00 90.00 90.00
Space group P4/mmm (No. 123)
Symmetry-distinct sites (fractional):
1 Ta 0.0000 0.0000 0.0000
2 Co 0.0000 0.5000 0.5000
3 Sb 0.5000 0.5000 0.0000
4 H 0.0000 0.0000 0.5000

Ba2Zn2RuO6: optimized geometry, PBE-GGA.

Summary:
As for the electronic total energy: -5.76 eV/atom. As for the formation energy from raw total energies: -17.91 eV per formula unit.

a b c (Å): 5.9719 5.9719 16.3538
angles (deg): 90.00 90.00 120.00
Space group R-3m (No. 166, hexagonal axes)
Symmetry-distinct sites (fractional):
1 Ba 0.0000 0.0000 0.2154
2 Zn 0.0000 0.0000 0.4083
3 Ru 0.0000 0.0000 0.0000
4 O 0.0299 0.5150 0.7462